1.
A relaxed Cs2TlIn3Pb4 crystal. Source: Alexandria via LeMat-Bulk, functional PBE.

a b c (Å): 5.4262 5.4262 12.5496
angles (deg): 90.00 90.00 90.00
Sites, in units of the cell vectors:
Cs 0.5000 0.0000 0.2520
Cs 0.0000 0.5000 0.7480
Tl 0.5000 0.5000 0.5000
In 0.0000 0.0000 0.5000
In 0.5000 0.0000 0.8734
In 0.0000 0.5000 0.1266
Pb 0.5000 0.5000 0.0000
Pb 0.0000 0.0000 0.0000
Pb 0.5000 0.0000 0.6301
Pb 0.0000 0.5000 0.3699

Results
The value obtained for the density is 7.39 g/cm³. The value obtained for the volume is 370 Å³ per cell. The value obtained for the raw total energy is -2.818 eV per atom. Its space group is P-4m2. As for the formation energy from the elements: -2.442 kcal/mol of atoms.


2.
A relaxed Bi2TeN crystal. Source: Alexandria via LeMat-Bulk, functional PBE.

a b c (Å): 7.3402 7.3402 6.4955
angles (deg): 55.60 55.60 90.00
Sites, in units of the cell vectors:
Te 0.0000 0.0000 0.0000
Te 0.7500 0.2500 0.5000
Bi 0.5337 0.1250 0.2500
Bi 0.2163 0.6250 0.2500
Bi 0.3750 0.4663 0.7500
Bi 0.8750 0.7837 0.7500
N 0.5000 0.5000 0.0000
N 0.2500 0.7500 0.5000

Results
The value obtained for the density is 8.83 g/cm³. The value obtained for the volume is 210 Å³ per cell. The value obtained for the raw total energy is -4.382 eV per atom. Its space group is I-42d. For the energy relative to the lowest polymorph listed for this composition, the calculation gives 0.0 meV/atom. The calculation puts the raw formation energy at 0.425 eV/atom.


3.
A relaxed PuAl2Ni crystal. Source: Alexandria via LeMat-Bulk, functional PBE.

a b c (Å): 2.9338 2.9338 7.6050
angles (deg): 90.00 90.00 90.00
Sites, in units of the cell vectors:
Ni 0.5000 0.5000 0.0000
Al 0.0000 0.0000 0.8122
Al 0.0000 0.0000 0.1878
Pu 0.5000 0.5000 0.5000

Results
The value obtained for the density is 9.05 g/cm³. The value obtained for the volume is 65 Å³ per cell. The value obtained for the raw total energy is -7.317 eV per atom. Its space group is P4/mmm. As for the formation energy from the elements: -9.617 kcal/mol of atoms.


4.
A relaxed AgBrO2 crystal. Source: Alexandria via LeMat-Bulk, functional PBE.

a b c (Å): 11.0475 11.0475 3.6185
angles (deg): 89.68 89.68 153.76
Sites, in units of the cell vectors:
Ag 0.5000 0.0000 0.0000
Ag 0.0000 0.5000 0.5000
Br 0.3425 0.6575 0.7500
Br 0.6575 0.3425 0.2500
O 0.0920 0.1538 0.2458
O 0.9080 0.8462 0.7542
O 0.8462 0.9080 0.2542
O 0.1538 0.0920 0.7458

Results
The value obtained for the density is 3.74 g/cm³. The value obtained for the volume is 195 Å³ per cell. The value obtained for the raw total energy is -3.708 eV per atom. Its space group is C2/c. The calculation puts the raw formation energy at -0.098 eV/atom.


5.
A relaxed SrAlAs2 crystal. Source: Alexandria via LeMat-Bulk, functional PBE.

a b c (Å): 6.0201 6.0201 6.0201
angles (deg): 139.23 139.23 59.02
Sites, in units of the cell vectors:
Sr 0.5000 0.5000 0.0000
As 0.0000 0.0000 0.0000
As 0.2500 0.7500 0.5000
Al 0.7500 0.2500 0.5000

Results
The value obtained for the density is 4.77 g/cm³. The value obtained for the volume is 92 Å³ per cell. The value obtained for the raw total energy is -3.921 eV per atom. Its space group is I-4m2. As for the formation energy from the elements: -5.548 kcal/mol of atoms.


6.
A relaxed PmYGaSi crystal. Source: Alexandria via LeMat-Bulk, functional PBE.

a b c (Å): 5.0910 5.0910 5.0910
angles (deg): 60.00 60.00 60.00
Sites, in units of the cell vectors:
Y 0.0000 0.0000 0.0000
Si 0.2500 0.2500 0.2500
Ga 0.7500 0.7500 0.7500
Pm 0.5000 0.5000 0.5000

Results
The value obtained for the density is 5.90 g/cm³. The value obtained for the volume is 93 Å³ per cell. The value obtained for the raw total energy is -5.411 eV per atom. Its space group is F-43m. For the energy relative to the lowest polymorph listed for this composition, the calculation gives 250.1 meV/atom. The calculation puts the raw formation energy at -0.495 eV/atom.